Entry from Alexandria via LeMat-Bulk: crystalline Li3V4CrO8 at its relaxed geometry (PBE with a Hubbard U).

Cell lengths 6.052, 6.052, 6.088 Å; angles 59.97, 59.97, 60.63 degrees
Last column: magnetic moment on the atom in μB.
Sites, in units of the cell vectors:
Li 0.000 0.500 0.000  -0.01
Li 0.500 0.000 0.000  -0.01
Li 0.000 0.000 0.500  -0.01
V 0.500 0.500 0.500  2.58
V 0.000 0.000 0.000  2.60
V 0.500 0.000 0.500  2.00
V 0.000 0.500 0.500  2.00
Cr 0.500 0.500 0.000  3.05
O 0.741 0.741 0.749  0.01
O 0.255 0.729 0.245  -0.01
O 0.729 0.255 0.245  -0.01
O 0.259 0.259 0.251  0.01
O 0.250 0.250 0.728  0.01
O 0.745 0.271 0.755  -0.01
O 0.271 0.745 0.755  -0.01
O 0.750 0.750 0.272  0.01

The uncorrected energy is -7.14 eV per atom. The magnetic moment is 0.81 μB per atom.